1.
# Li4FeCo3O8 | Alexandria via LeMat-Bulk | GGA+U | optimized geometry
data_Li4FeCo3O8
_cell_length_a 5.909
_cell_length_b 5.909
_cell_length_c 5.909
_cell_angle_alpha 59.45
_cell_angle_beta 59.45
_cell_angle_gamma 59.45
_symmetry_space_group_name_H-M 'P 1'
_symmetry_Int_Tables_number 1
_symmetry_space_group_name_Hall 'P 1'
loop_
_atom_site_label
_atom_site_fract_x
_atom_site_fract_y
_atom_site_fract_z
Li1 0.000 0.000 0.000
Li2 0.000 0.500 0.500
Li3 0.500 0.000 0.500
Li4 0.500 0.500 0.000
Fe1 0.500 0.500 0.500
Co1 0.000 0.000 0.500
Co2 0.000 0.500 0.000
Co3 0.500 0.000 0.000
O1 0.242 0.242 0.242
O2 0.260 0.734 0.734
O3 0.266 0.266 0.740
O4 0.266 0.740 0.266
O5 0.734 0.260 0.734
O6 0.734 0.734 0.260
O7 0.740 0.266 0.266
O8 0.758 0.758 0.758
# V	9.0	Å³/atom
# M_tot	13.014	Bohr magnetons per cell
# ΔE to the lowest computed polymorph	0.0	meV per atom

2.
# LiFe2Co3O6 | Alexandria via LeMat-Bulk | GGA+U | optimized geometry
data_LiFe2Co3O6
_cell_length_a 6.727
_cell_length_b 6.727
_cell_length_c 6.106
_cell_angle_alpha 102.84
_cell_angle_beta 102.84
_cell_angle_gamma 25.88
_symmetry_space_group_name_H-M 'P 1'
_symmetry_Int_Tables_number 1
_symmetry_space_group_name_Hall 'P 1'
loop_
_atom_site_label
_atom_site_fract_x
_atom_site_fract_y
_atom_site_fract_z
Li1 0.000 0.000 0.000
Fe1 0.339 0.339 0.674
Fe2 0.661 0.661 0.326
Co1 0.000 0.000 0.500
Co2 0.338 0.338 0.162
Co3 0.662 0.662 0.838
O1 0.169 0.169 0.086
O2 0.173 0.173 0.583
O3 0.497 0.497 0.739
O4 0.503 0.503 0.261
O5 0.827 0.827 0.417
O6 0.831 0.831 0.914
# raw total energy	-0.44935	Ry per atom
# V	9.8	Å³/atom
# M_tot	18.000	Bohr magnetons per cell

3.
# Li3FeCo2O6 | Alexandria via LeMat-Bulk | GGA+U | optimized geometry
data_Li3FeCo2O6
_cell_length_a 6.454
_cell_length_b 6.454
_cell_length_c 5.998
_cell_angle_alpha 104.53
_cell_angle_beta 104.53
_cell_angle_gamma 27.07
_symmetry_space_group_name_H-M 'P 1'
_symmetry_Int_Tables_number 1
_symmetry_space_group_name_Hall 'P 1'
loop_
_atom_site_label
_atom_site_fract_x
_atom_site_fract_y
_atom_site_fract_z
Li1 0.000 0.000 0.000
Li2 0.334 0.334 0.664
Li3 0.666 0.666 0.336
Fe1 0.000 0.000 0.500
Co1 0.333 0.333 0.166
Co2 0.667 0.667 0.834
O1 0.159 0.159 0.590
O2 0.174 0.174 0.078
O3 0.493 0.493 0.257
O4 0.507 0.507 0.743
O5 0.826 0.826 0.922
O6 0.841 0.841 0.410
# raw total energy	-0.41730	Ry per atom
# V	9.2	Å³/atom
# M_tot	10.990	Bohr magnetons per cell

4.
# Li10Fe5Co3O16 | Alexandria via LeMat-Bulk | GGA+U | optimized geometry
data_Li10Fe5Co3O16
_cell_length_a 5.839
_cell_length_b 5.907
_cell_length_c 9.618
_cell_angle_alpha 88.48
_cell_angle_beta 89.72
_cell_angle_gamma 60.54
_symmetry_space_group_name_H-M 'P 1'
_symmetry_Int_Tables_number 1
_symmetry_space_group_name_Hall 'P 1'
loop_
_atom_site_label
_atom_site_fract_x
_atom_site_fract_y
_atom_site_fract_z
Li1 0.000 0.000 0.000
Li2 0.005 0.982 0.504
Li3 0.193 0.611 0.433
Li4 0.200 0.186 0.434
Li5 0.332 0.334 0.206
Li6 0.393 0.808 0.934
Li7 0.613 0.197 0.430
Li8 0.670 0.659 0.708
Li9 0.802 0.401 0.942
Li10 0.820 0.801 0.931
Fe1 0.178 0.645 0.700
Fe2 0.342 0.827 0.199
Fe3 0.343 0.321 0.955
Fe4 0.669 0.651 0.455
Fe5 0.833 0.825 0.201
Co1 0.171 0.158 0.701
Co2 0.667 0.159 0.699
Co3 0.833 0.331 0.201
O1 0.013 0.974 0.308
O2 0.033 0.485 0.830
O3 0.166 0.669 0.083
O4 0.182 0.151 0.072
O5 0.343 0.807 0.574
O6 0.348 0.328 0.588
O7 0.488 0.491 0.829
O8 0.502 0.520 0.325
O9 0.505 0.020 0.825
O10 0.518 0.966 0.323
O11 0.662 0.679 0.088
O12 0.669 0.156 0.075
O13 0.828 0.314 0.572
O14 0.847 0.801 0.577
O15 0.976 0.514 0.329
O16 0.998 0.973 0.804
# raw total energy	-0.40458	Ry per atom
# V	8.5	Å³/atom
# M_tot	2.901	Bohr magnetons per cell

5.
# Li2FeCo2O6 | Alexandria via LeMat-Bulk | GGA+U | optimized geometry
data_Li2FeCo2O6
_cell_length_a 10.059
_cell_length_b 4.995
_cell_length_c 4.995
_cell_angle_alpha 60.27
_cell_angle_beta 90.00
_cell_angle_gamma 90.00
_symmetry_space_group_name_H-M 'P 1'
_symmetry_Int_Tables_number 1
_symmetry_space_group_name_Hall 'P 1'
loop_
_atom_site_label
_atom_site_fract_x
_atom_site_fract_y
_atom_site_fract_z
Li1 0.248 0.083 0.917
Li2 0.252 0.583 0.417
Li3 0.748 0.417 0.583
Li4 0.752 0.917 0.083
Fe1 0.000 0.247 0.247
Fe2 0.500 0.747 0.747
Co1 0.000 0.583 0.583
Co2 0.000 0.912 0.912
Co3 0.500 0.083 0.083
Co4 0.500 0.412 0.412
O1 0.098 0.591 0.898
O2 0.104 0.257 0.595
O3 0.104 0.896 0.247
O4 0.396 0.396 0.747
O5 0.396 0.757 0.095
O6 0.402 0.091 0.398
O7 0.598 0.398 0.091
O8 0.604 0.095 0.757
O9 0.604 0.747 0.396
O10 0.896 0.247 0.896
O11 0.896 0.595 0.257
O12 0.902 0.898 0.591
# V	9.9	Å³/atom
# M_tot	7.972	Bohr magnetons per cell
# ΔE to the lowest computed polymorph	26.4	meV per atom

6.
# Li2FeCo2O6 | Alexandria via LeMat-Bulk | GGA+U | optimized geometry
data_Li2FeCo2O6
_cell_length_a 4.992
_cell_length_b 5.021
_cell_length_c 10.254
_cell_angle_alpha 97.45
_cell_angle_beta 96.25
_cell_angle_gamma 119.17
_symmetry_space_group_name_H-M 'P 1'
_symmetry_Int_Tables_number 1
_symmetry_space_group_name_Hall 'P 1'
loop_
_atom_site_label
_atom_site_fract_x
_atom_site_fract_y
_atom_site_fract_z
Li1 0.000 0.000 0.000
Li2 0.136 0.113 0.516
Li3 0.308 0.629 0.006
Li4 0.477 0.780 0.512
Fe1 0.248 0.893 0.758
Fe2 0.790 0.433 0.252
Co1 0.121 0.095 0.257
Co2 0.459 0.768 0.256
Co3 0.587 0.554 0.757
Co4 0.916 0.223 0.755
O1 0.095 0.394 0.149
O2 0.186 0.821 0.364
O3 0.210 0.496 0.655
O4 0.258 0.265 0.867
O5 0.391 0.034 0.153
O6 0.490 0.484 0.357
O7 0.544 0.179 0.654
O8 0.645 0.935 0.856
O9 0.745 0.741 0.150
O10 0.844 0.130 0.358
O11 0.876 0.878 0.644
O12 0.959 0.598 0.859
# V	9.9	Å³/atom
# M_tot	4.086	Bohr magnetons per cell
# ΔE to the lowest computed polymorph	49.0	meV per atom

7.
# Li2FeCoO4 | Alexandria via LeMat-Bulk | GGA+U | optimized geometry
data_Li2FeCoO4
_cell_length_a 5.154
_cell_length_b 2.934
_cell_length_c 5.203
_cell_angle_alpha 90.00
_cell_angle_beta 109.66
_cell_angle_gamma 90.00
_symmetry_space_group_name_H-M 'P 1'
_symmetry_Int_Tables_number 1
_symmetry_space_group_name_Hall 'P 1'
loop_
_atom_site_label
_atom_site_fract_x
_atom_site_fract_y
_atom_site_fract_z
Li1 0.000 0.000 0.000
Li2 0.500 0.500 0.000
Fe1 0.000 0.500 0.500
Co1 0.500 0.000 0.500
O1 0.243 0.000 0.730
O2 0.258 0.500 0.270
O3 0.742 0.500 0.730
O4 0.757 0.000 0.270
# V	9.3	Å³/atom
# M_tot	8.998	Bohr magnetons per cell
# ΔE to the lowest computed polymorph	38.0	meV per atom

8.
# Li2FeCo2O6 | Alexandria via LeMat-Bulk | GGA+U | optimized geometry
data_Li2FeCo2O6
_cell_length_a 4.968
_cell_length_b 9.843
_cell_length_c 4.973
_cell_angle_alpha 90.00
_cell_angle_beta 119.84
_cell_angle_gamma 90.00
_symmetry_space_group_name_H-M 'P 1'
_symmetry_Int_Tables_number 1
_symmetry_space_group_name_Hall 'P 1'
loop_
_atom_site_label
_atom_site_fract_x
_atom_site_fract_y
_atom_site_fract_z
Li1 0.002 0.000 0.335
Li2 0.334 0.502 0.331
Li3 0.666 0.002 0.669
Li4 0.998 0.500 0.665
Fe1 0.340 0.244 0.000
Fe2 0.660 0.744 0.000
Co1 0.001 0.262 0.331
Co2 0.332 0.761 0.333
Co3 0.668 0.261 0.667
Co4 0.999 0.762 0.669
O1 0.005 0.361 0.005
O2 0.021 0.654 0.363
O3 0.304 0.651 0.996
O4 0.322 0.363 0.648
O5 0.323 0.863 0.656
O6 0.331 0.153 0.357
O7 0.669 0.653 0.643
O8 0.677 0.363 0.344
O9 0.678 0.863 0.352
O10 0.696 0.151 0.004
O11 0.979 0.154 0.637
O12 0.995 0.861 0.995
# V	9.6	Å³/atom
# M_tot	7.945	Bohr magnetons per cell
# ΔE to the lowest computed polymorph	0.0	meV per atom

9.
# Li5Fe3Co2O10 | Alexandria via LeMat-Bulk | GGA+U | optimized geometry
data_Li5Fe3Co2O10
_cell_length_a 5.080
_cell_length_b 5.185
_cell_length_c 7.900
_cell_angle_alpha 107.84
_cell_angle_beta 101.19
_cell_angle_gamma 101.28
_symmetry_space_group_name_H-M 'P 1'
_symmetry_Int_Tables_number 1
_symmetry_space_group_name_Hall 'P 1'
loop_
_atom_site_label
_atom_site_fract_x
_atom_site_fract_y
_atom_site_fract_z
Li1 0.000 0.000 0.000
Li2 0.117 0.213 0.724
Li3 0.290 0.585 0.087
Li4 0.710 0.415 0.913
Li5 0.883 0.787 0.276
Fe1 0.192 0.393 0.393
Fe2 0.500 0.000 0.500
Fe3 0.808 0.607 0.607
Co1 0.400 0.810 0.818
Co2 0.600 0.190 0.182
O1 0.057 0.605 0.836
O2 0.156 0.786 0.549
O3 0.274 0.027 0.265
O4 0.362 0.186 0.955
O5 0.452 0.389 0.637
O6 0.548 0.611 0.363
O7 0.638 0.814 0.045
O8 0.726 0.973 0.735
O9 0.844 0.214 0.451
O10 0.943 0.395 0.164
# V	9.3	Å³/atom
# M_tot	23.000	Bohr magnetons per cell
# ΔE to the lowest computed polymorph	0.0	meV per atom

10.
# Li2FeCoO4 | Alexandria via LeMat-Bulk | GGA+U | optimized geometry
data_Li2FeCoO4
_cell_length_a 5.188
_cell_length_b 5.188
_cell_length_c 5.188
_cell_angle_alpha 133.71
_cell_angle_beta 133.71
_cell_angle_gamma 67.54
_symmetry_space_group_name_H-M 'P 1'
_symmetry_Int_Tables_number 1
_symmetry_space_group_name_Hall 'P 1'
loop_
_atom_site_label
_atom_site_fract_x
_atom_site_fract_y
_atom_site_fract_z
Li1 0.000 0.000 0.000
Li2 0.750 0.250 0.500
Fe1 0.500 0.500 0.000
Co1 0.250 0.750 0.500
O1 0.023 0.523 0.500
O2 0.265 0.265 0.000
O3 0.477 0.977 0.500
O4 0.735 0.735 0.000
# V	9.0	Å³/atom
# M_tot	7.000	Bohr magnetons per cell
# ΔE to the lowest computed polymorph	53.3	meV per atom

11.
# Li10FeCo9O20 | Alexandria via LeMat-Bulk | GGA+U | optimized geometry
data_Li10FeCo9O20
_cell_length_a 5.012
_cell_length_b 7.541
_cell_length_c 9.740
_cell_angle_alpha 79.99
_cell_angle_beta 85.04
_cell_angle_gamma 71.77
_symmetry_space_group_name_H-M 'P 1'
_symmetry_Int_Tables_number 1
_symmetry_space_group_name_Hall 'P 1'
loop_
_atom_site_label
_atom_site_fract_x
_atom_site_fract_y
_atom_site_fract_z
Li1 0.042 0.150 0.250
Li2 0.144 0.453 0.751
Li3 0.249 0.752 0.250
Li4 0.353 0.048 0.749
Li5 0.456 0.349 0.250
Li6 0.544 0.651 0.750
Li7 0.647 0.952 0.251
Li8 0.751 0.248 0.750
Li9 0.856 0.547 0.249
Li10 0.958 0.850 0.750
Fe1 0.500 0.500 0.500
Co1 0.000 0.000 0.000
Co2 0.104 0.296 0.499
Co3 0.200 0.600 0.000
Co4 0.299 0.901 0.500
Co5 0.396 0.202 0.001
Co6 0.604 0.798 0.999
Co7 0.701 0.099 0.500
Co8 0.800 0.400 0.000
Co9 0.896 0.704 0.501
O1 0.025 0.074 0.610
O2 0.059 0.226 0.889
O3 0.111 0.385 0.111
O4 0.181 0.518 0.386
O5 0.235 0.677 0.612
O6 0.263 0.826 0.889
O7 0.314 0.982 0.113
O8 0.389 0.116 0.388
O9 0.440 0.271 0.612
O10 0.474 0.426 0.890
O11 0.526 0.574 0.110
O12 0.560 0.729 0.388
O13 0.611 0.884 0.612
O14 0.686 0.018 0.887
O15 0.737 0.174 0.111
O16 0.765 0.323 0.388
O17 0.819 0.482 0.614
O18 0.889 0.615 0.889
O19 0.941 0.774 0.111
O20 0.975 0.926 0.390
# raw total energy	-0.41478	Ry per atom
# V	8.6	Å³/atom
# M_tot	0.935	Bohr magnetons per cell

12.
# Li2Fe3CoO6 | Alexandria via LeMat-Bulk | GGA+U | optimized geometry
data_Li2Fe3CoO6
_cell_length_a 6.755
_cell_length_b 6.755
_cell_length_c 6.075
_cell_angle_alpha 102.72
_cell_angle_beta 102.72
_cell_angle_gamma 25.78
_symmetry_space_group_name_H-M 'P 1'
_symmetry_Int_Tables_number 1
_symmetry_space_group_name_Hall 'P 1'
loop_
_atom_site_label
_atom_site_fract_x
_atom_site_fract_y
_atom_site_fract_z
Li1 0.170 0.170 0.342
Li2 0.830 0.830 0.658
Fe1 0.168 0.168 0.830
Fe2 0.500 0.500 0.500
Fe3 0.832 0.832 0.170
Co1 0.500 0.500 0.000
O1 0.009 0.009 0.765
O2 0.328 0.328 0.929
O3 0.335 0.335 0.399
O4 0.665 0.665 0.601
O5 0.672 0.672 0.071
O6 0.991 0.991 0.235
# raw total energy	-0.45389	Ry per atom
# V	9.8	Å³/atom
# M_tot	16.976	Bohr magnetons per cell

13.
# LiFeCo3O8 | Alexandria via LeMat-Bulk | GGA+U | optimized geometry
data_LiFeCo3O8
_cell_length_a 5.961
_cell_length_b 5.961
_cell_length_c 5.961
_cell_angle_alpha 57.88
_cell_angle_beta 57.88
_cell_angle_gamma 57.88
_symmetry_space_group_name_H-M 'P 1'
_symmetry_Int_Tables_number 1
_symmetry_space_group_name_Hall 'P 1'
loop_
_atom_site_label
_atom_site_fract_x
_atom_site_fract_y
_atom_site_fract_z
Li1 0.000 0.000 0.000
Fe1 0.500 0.500 0.500
Co1 0.000 0.000 0.500
Co2 0.000 0.500 0.000
Co3 0.500 0.000 0.000
O1 0.212 0.743 0.743
O2 0.231 0.231 0.231
O3 0.257 0.257 0.788
O4 0.257 0.788 0.257
O5 0.743 0.212 0.743
O6 0.743 0.743 0.212
O7 0.769 0.769 0.769
O8 0.788 0.257 0.257
# raw total energy	-0.42900	Ry per atom
# V	11.0	Å³/atom
# M_tot	8.000	Bohr magnetons per cell

14.
# Li2FeCo3O8 | Alexandria via LeMat-Bulk | GGA+U | optimized geometry
data_Li2FeCo3O8
_cell_length_a 5.691
_cell_length_b 5.691
_cell_length_c 9.377
_cell_angle_alpha 90.00
_cell_angle_beta 90.00
_cell_angle_gamma 120.00
_symmetry_space_group_name_H-M 'P 1'
_symmetry_Int_Tables_number 1
_symmetry_space_group_name_Hall 'P 1'
loop_
_atom_site_label
_atom_site_fract_x
_atom_site_fract_y
_atom_site_fract_z
Li1 0.000 0.000 0.000
Li2 0.000 0.000 0.500
Li3 0.333 0.667 0.396
Li4 0.667 0.333 0.896
Fe1 0.333 0.667 0.991
Fe2 0.667 0.333 0.491
Co1 0.169 0.338 0.715
Co2 0.169 0.831 0.715
Co3 0.338 0.169 0.215
Co4 0.662 0.831 0.715
Co5 0.831 0.169 0.215
Co6 0.831 0.662 0.215
O1 0.000 0.000 0.312
O2 0.000 0.000 0.812
O3 0.036 0.518 0.831
O4 0.161 0.322 0.108
O5 0.161 0.839 0.108
O6 0.322 0.161 0.608
O7 0.333 0.667 0.610
O8 0.482 0.518 0.831
O9 0.482 0.964 0.831
O10 0.518 0.036 0.331
O11 0.518 0.482 0.331
O12 0.667 0.333 0.110
O13 0.678 0.839 0.108
O14 0.839 0.161 0.608
O15 0.839 0.678 0.608
O16 0.964 0.482 0.331
# V	9.4	Å³/atom
# M_tot	14.000	Bohr magnetons per cell
# ΔE to the lowest computed polymorph	38.0	meV per atom

15.
# Li4Fe3CoO8 | Alexandria via LeMat-Bulk | GGA+U | optimized geometry
data_Li4Fe3CoO8
_cell_length_a 5.949
_cell_length_b 5.949
_cell_length_c 5.097
_cell_angle_alpha 106.67
_cell_angle_beta 106.67
_cell_angle_gamma 59.36
_symmetry_space_group_name_H-M 'P 1'
_symmetry_Int_Tables_number 1
_symmetry_space_group_name_Hall 'P 1'
loop_
_atom_site_label
_atom_site_fract_x
_atom_site_fract_y
_atom_site_fract_z
Li1 0.000 0.500 0.000
Li2 0.246 0.246 0.478
Li3 0.500 0.000 0.000
Li4 0.754 0.754 0.522
Fe1 0.247 0.753 0.500
Fe2 0.500 0.500 0.000
Fe3 0.753 0.247 0.500
Co1 0.000 0.000 0.000
O1 0.112 0.112 0.754
O2 0.129 0.646 0.763
O3 0.354 0.871 0.237
O4 0.384 0.384 0.259
O5 0.616 0.616 0.741
O6 0.646 0.129 0.763
O7 0.871 0.354 0.237
O8 0.888 0.888 0.246
# V	9.2	Å³/atom
# M_tot	15.000	Bohr magnetons per cell
# ΔE to the lowest computed polymorph	0.0	meV per atom

16.
# Li3Fe3CoO8 | Alexandria via LeMat-Bulk | GGA+U | optimized geometry
data_Li3Fe3CoO8
_cell_length_a 5.850
_cell_length_b 5.850
_cell_length_c 4.971
_cell_angle_alpha 106.62
_cell_angle_beta 106.62
_cell_angle_gamma 58.51
_symmetry_space_group_name_H-M 'P 1'
_symmetry_Int_Tables_number 1
_symmetry_space_group_name_Hall 'P 1'
loop_
_atom_site_label
_atom_site_fract_x
_atom_site_fract_y
_atom_site_fract_z
Li1 0.000 0.000 0.000
Li2 0.261 0.738 0.505
Li3 0.738 0.261 0.505
Fe1 0.252 0.252 0.516
Fe2 0.500 0.999 0.011
Fe3 0.999 0.500 0.011
Co1 0.748 0.748 0.507
O1 0.092 0.619 0.742
O2 0.140 0.140 0.774
O3 0.356 0.356 0.257
O4 0.395 0.894 0.280
O5 0.619 0.092 0.742
O6 0.644 0.644 0.758
O7 0.859 0.859 0.255
O8 0.894 0.395 0.280
# V	9.1	Å³/atom
# M_tot	4.002	Bohr magnetons per cell
# ΔE to the lowest computed polymorph	276.4	meV per atom